No. 1
First-principles (PBE) data for a relaxed structure of CeTlPdCl6, as listed in the Alexandria database.

Properties
D(E_F) ... 15.631 states/eV/cell
Formation energy from raw total energies ... -1335 meV per atom

Unit cell a=6.7497 b=6.7497 c=14.6434 alpha=90.00 beta=90.00 gamma=120.00
Space group P-31c (No. 163)
Unique sites:
Ce 0.3333 0.6667 0.2500 (multiplicity 2)
Tl 0.0000 0.0000 0.0000 (multiplicity 2)
Pd 0.3333 0.6667 0.7500 (multiplicity 2)
Cl 0.0117 0.3656 0.6448 (multiplicity 12)

No. 2
First-principles (PBE) data for a relaxed structure of CePm2Cl8, as listed in the Alexandria database.

Properties
D(E_F) ... 24.080 states/eV/cell
Formation energy from raw total energies ... -2092 meV per atom

Unit cell a=8.5300 b=12.4809 c=5.4107 alpha=90.00 beta=105.57 gamma=90.00
Space group C2/m (No. 12)
Unique sites:
Ce 0.0000 0.0000 0.0000 (multiplicity 2)
Pm 0.0000 0.3176 0.5000 (multiplicity 4)
Cl 0.0000 0.2363 0.0000 (multiplicity 4)
Cl 0.1308 0.5000 0.8156 (multiplicity 4)
Cl 0.1929 0.1295 0.5821 (multiplicity 8)

No. 3
First-principles (PBE) data for a relaxed structure of Ce2PmCl8, as listed in the Alexandria database.

Properties
Offset from the most stable computed form ... 79 meV per atom
D(E_F) ... 38.559 states/eV/cell
Formation energy from raw total energies ... -2045 meV per atom

Unit cell a=8.4201 b=12.5284 c=5.6871 alpha=90.00 beta=105.20 gamma=90.00
Space group C2/m (No. 12)
Unique sites:
Ce 0.0000 0.1861 0.0000 (multiplicity 4)
Pm 0.0000 0.5000 0.5000 (multiplicity 2)
Cl 0.0000 0.2783 0.5000 (multiplicity 4)
Cl 0.1503 0.0000 0.3153 (multiplicity 4)
Cl 0.1994 0.3714 0.1113 (multiplicity 8)